[1]
An optimized crystal structure of Ho6Sb3TePb2. Source: the Alexandria database, functional PBE.

Lattice parameters (Å, degrees): 19.1927 4.3029 8.9292 90.00 103.67 90.00
Space group C2/m (No. 12)
Inequivalent atoms, fractional coordinates:
Ho 0.9995 0.0000 0.2437 (multiplicity 4)
Ho 0.1654 0.5000 0.0880 (multiplicity 4)
Ho 0.1683 0.5000 0.5801 (multiplicity 4)
Sb 0.0000 0.5000 0.0000 (multiplicity 2)
Sb 0.1646 0.0000 0.3342 (multiplicity 4)
Te 0.0000 0.5000 0.5000 (multiplicity 2)
Pb 0.1668 0.0000 0.8328 (multiplicity 4)

Computed properties:
Formation energy (no corrections)   -1059.8 kJ/mol of formula units
Total moment   0.00 μB per formula unit
V   716.5 Å³ per cell
Theoretical density   8792 kg/m3



[2]
An optimized crystal structure of Ho4Sb2TePb. Source: the Alexandria database, functional PBE.

Lattice parameters (Å, degrees): 7.6043 4.3530 7.6059 90.00 109.15 90.00
Space group P2/m (No. 10)
Inequivalent atoms, fractional coordinates:
Ho 0.2434 0.0000 0.2424 (multiplicity 2)
Ho 0.2460 0.5000 0.7507 (multiplicity 2)
Sb 0.0000 0.0000 0.5000 (multiplicity 1)
Sb 0.0000 0.5000 0.0000 (multiplicity 1)
Te 0.5000 0.5000 0.5000 (multiplicity 1)
Pb 0.5000 0.0000 0.0000 (multiplicity 1)

Computed properties:
Formation energy (no corrections)   -783.1 kJ/mol of formula units
Total moment   0.00 μB per formula unit
V   237.8 Å³ per cell
Theoretical density   8644 kg/m3



[3]
An optimized crystal structure of HoScPb. Source: the Alexandria database, functional PBE.

Lattice parameters (Å, degrees): 5.0111 5.0111 3.7782 90.00 90.00 120.00
Space group P3m1 (No. 156)
Inequivalent atoms, fractional coordinates:
Ho 0.0000 0.0000 0.0000 (multiplicity 1)
Sc 0.6667 0.3333 0.4989 (multiplicity 1)
Pb 0.3333 0.6667 0.5028 (multiplicity 1)

Computed properties:
Formation energy from the elements   -220.0 meV per atom
Total moment   0.00 μB per formula unit
V   82.2 Å³ per cell
Theoretical density   8429 kg/m3
ΔE to the lowest computed polymorph   224 meV per atom



[4]
An optimized crystal structure of Ho5ScPb4. Source: the Alexandria database, functional PBE.

Lattice parameters (Å, degrees): 17.4135 3.6004 9.5830 90.00 91.14 90.00
Space group C2/m (No. 12)
Inequivalent atoms, fractional coordinates:
Ho 0.0000 0.0000 0.0000 (multiplicity 2)
Ho 0.1558 0.5000 0.2599 (multiplicity 4)
Ho 0.1893 0.5000 0.8916 (multiplicity 4)
Sc 0.0000 0.0000 0.5000 (multiplicity 2)
Pb 0.0253 0.5000 0.7407 (multiplicity 4)
Pb 0.1785 0.0000 0.5707 (multiplicity 4)

Computed properties:
Formation energy from the elements   -191.9 meV per atom
Total moment   0.00 μB per formula unit
V   600.7 Å³ per cell
Theoretical density   9390 kg/m3



[5]
An optimized crystal structure of Ho2ScPb9. Source: the Alexandria database, functional PBE.

Lattice parameters (Å, degrees): 4.8639 4.8639 14.4864 90.00 90.00 90.00
Space group P4/mmm (No. 123)
Inequivalent atoms, fractional coordinates:
Ho 0.0000 0.0000 0.1666 (multiplicity 2)
Sc 0.0000 0.0000 0.5000 (multiplicity 1)
Pb 0.0000 0.5000 0.0000 (multiplicity 2)
Pb 0.0000 0.5000 0.3377 (multiplicity 4)
Pb 0.5000 0.5000 0.1687 (multiplicity 2)
Pb 0.5000 0.5000 0.5000 (multiplicity 1)

Computed properties:
Formation energy from the elements   -212.4 meV per atom
Total moment   0.00 μB per formula unit
V   342.7 Å³ per cell
Theoretical density   10852 kg/m3



[6]
An optimized crystal structure of Ho3ScPb2. Source: the Alexandria database, functional PBE.

Lattice parameters (Å, degrees): 6.3704 16.7256 6.3605 90.00 90.00 90.00
Space group Ibam (No. 72)
Inequivalent atoms, fractional coordinates:
Ho 0.0000 0.0000 0.2500 (multiplicity 4)
Ho 0.2503 0.1702 0.0000 (multiplicity 8)
Sc 0.0000 0.5000 0.2500 (multiplicity 4)
Pb 0.2438 0.3609 0.0000 (multiplicity 8)

Computed properties:
Formation energy from the elements   -419.0 meV per atom
Total moment   0.00 μB per formula unit
V   677.7 Å³ per cell
Theoretical density   9352 kg/m3



[7]
An optimized crystal structure of HoSc2Pb. Source: the Alexandria database, functional PBE.

Lattice parameters (Å, degrees): 4.4273 4.5087 10.9084 90.00 101.70 90.00
Space group P2_1/m (No. 11)
Inequivalent atoms, fractional coordinates:
Ho 0.1881 0.2500 0.3768 (multiplicity 2)
Sc 0.0539 0.7500 0.1077 (multiplicity 2)
Sc 0.4406 0.7500 0.8811 (multiplicity 2)
Pb 0.3384 0.2500 0.6762 (multiplicity 2)

Computed properties:
Formation energy from the elements   -326.2 meV per atom
Total moment   0.00 μB per formula unit
V   213.2 Å³ per cell
Theoretical density   7197 kg/m3
ΔE to the lowest computed polymorph   0 meV per atom



[8]
An optimized crystal structure of HoSc3Pb. Source: the Alexandria database, functional PBE.

Lattice parameters (Å, degrees): 14.0354 7.8958 10.3409 90.00 102.75 90.00
Space group C2/c (No. 15)
Inequivalent atoms, fractional coordinates:
Ho 0.0880 0.2039 0.1234 (multiplicity 8)
Sc 0.0816 0.3813 0.5981 (multiplicity 8)
Sc 0.1426 0.4464 0.8769 (multiplicity 8)
Sc 0.2179 0.0721 0.8261 (multiplicity 8)
Pb 0.0000 0.1200 0.7500 (multiplicity 4)
Pb 0.2500 0.2500 0.5000 (multiplicity 4)

Computed properties:
Formation energy from the elements   14.3 meV per atom
Total moment   0.00 μB per formula unit
V   1117.7 Å³ per cell
Theoretical density   6026 kg/m3



[9]
An optimized crystal structure of Ho3ScPb2. Source: the Alexandria database, functional PBE.

Lattice parameters (Å, degrees): 4.4963 4.4963 8.3845 90.00 90.00 90.00
Space group P-4m2 (No. 115)
Inequivalent atoms, fractional coordinates:
Ho 0.0000 0.0000 0.0000 (multiplicity 1)
Ho 0.0000 0.5000 0.6602 (multiplicity 2)
Sc 0.5000 0.5000 0.0000 (multiplicity 1)
Pb 0.0000 0.5000 0.2787 (multiplicity 2)

Computed properties:
Formation energy from the elements   -420.4 meV per atom
Total moment   0.00 μB per formula unit
V   169.5 Å³ per cell
Theoretical density   9347 kg/m3



[10]
An optimized crystal structure of HoSc4Pb5. Source: the Alexandria database, functional PBE.

Lattice parameters (Å, degrees): 9.5637 9.5637 6.0648 90.00 90.00 90.00
Space group I4 (No. 79)
Inequivalent atoms, fractional coordinates:
Ho 0.0000 0.0000 0.0000 (multiplicity 2)
Sc 0.1090 0.7098 0.4985 (multiplicity 8)
Pb 0.0000 0.0000 0.5000 (multiplicity 2)
Pb 0.0943 0.6844 0.9985 (multiplicity 8)

Computed properties:
Formation energy from the elements   -204.3 meV per atom
Total moment   0.00 μB per formula unit
V   554.7 Å³ per cell
Theoretical density   8267 kg/m3



[11]
An optimized crystal structure of HoSc5Pb3. Source: the Alexandria database, functional PBE.

Lattice parameters (Å, degrees): 8.9402 8.9402 6.3300 90.00 90.00 120.00
Space group P6_3/mcm (No. 193)
Inequivalent atoms, fractional coordinates:
Ho 0.0000 0.0000 0.0000 (multiplicity 2)
Sc 0.0000 0.3368 0.2500 (multiplicity 6)
Sc 0.3333 0.6667 0.0000 (multiplicity 4)
Pb 0.0000 0.3347 0.7500 (multiplicity 6)

Computed properties:
Formation energy from the elements   -359.7 meV per atom
Total moment   3.56 μB per formula unit
V   438.2 Å³ per cell
Theoretical density   7665 kg/m3



[12]
An optimized crystal structure of HoSc2Pb. Source: the Alexandria database, functional PBE.

Lattice parameters (Å, degrees): 4.6648 4.6648 4.6562 90.00 90.00 90.00
Space group P4/mmm (No. 123)
Inequivalent atoms, fractional coordinates:
Ho 0.0000 0.0000 0.0000 (multiplicity 1)
Sc 0.0000 0.5000 0.5000 (multiplicity 2)
Pb 0.5000 0.5000 0.0000 (multiplicity 1)

Computed properties:
Formation energy from the elements   -256.1 meV per atom
Total moment   1.72 μB per formula unit
V   101.3 Å³ per cell
Theoretical density   7572 kg/m3
ΔE to the lowest computed polymorph   70 meV per atom



[13]
An optimized crystal structure of HoScPb. Source: the Alexandria database, functional PBE.

Lattice parameters (Å, degrees): 5.0249 5.0249 24.6612 90.00 90.00 120.00
Space group R-3m (No. 166, hexagonal axes)
Inequivalent atoms, fractional coordinates:
Ho 0.0000 0.0000 0.1245 (multiplicity 6)
Sc 0.0000 0.0000 0.3748 (multiplicity 6)
Pb 0.0000 0.0000 0.2544 (multiplicity 6)

Computed properties:
Formation energy from the elements   -148.7 meV per atom
Total moment   0.73 μB per formula unit
V   539.3 Å³ per cell
Theoretical density   7706 kg/m3
ΔE to the lowest computed polymorph   295 meV per atom



[14]
An optimized crystal structure of HoSc2Pb. Source: the Alexandria database, functional PBE.

Lattice parameters (Å, degrees): 7.4019 7.4019 7.4019 90.00 90.00 90.00
Space group F-43m (No. 216)
Inequivalent atoms, fractional coordinates:
Ho 0.0000 0.0000 0.0000 (multiplicity 4)
Sc 0.0000 0.0000 0.5000 (multiplicity 4)
Sc 0.2500 0.2500 0.2500 (multiplicity 4)
Pb 0.2500 0.2500 0.7500 (multiplicity 4)

Computed properties:
Formation energy from the elements   -92.0 meV per atom
Total moment   1.34 μB per formula unit
V   405.5 Å³ per cell
Theoretical density   7568 kg/m3
ΔE to the lowest computed polymorph   234 meV per atom



[15]
An optimized crystal structure of HoScPb. Source: the Alexandria database, functional PBE.

Lattice parameters (Å, degrees): 4.2515 4.7069 8.1556 90.00 105.10 90.00
Space group P2_1/m (No. 11)
Inequivalent atoms, fractional coordinates:
Ho 0.0803 0.2500 0.1595 (multiplicity 2)
Sc 0.2529 0.7500 0.5057 (multiplicity 2)
Pb 0.3933 0.2500 0.7865 (multiplicity 2)

Computed properties:
Formation energy from the elements   -392.1 meV per atom
Total moment   0.14 μB per formula unit
V   157.6 Å³ per cell
Theoretical density   8791 kg/m3
ΔE to the lowest computed polymorph   52 meV per atom



[16]
An optimized crystal structure of Ho8Sc2Pb. Source: the Alexandria database, functional PBE.

Lattice parameters (Å, degrees): 17.6025 4.8547 7.7791 90.00 106.04 90.00
Space group C2/m (No. 12)
Inequivalent atoms, fractional coordinates:
Ho 0.0461 0.0000 0.2231 (multiplicity 4)
Ho 0.0948 0.5000 0.9480 (multiplicity 4)
Ho 0.1397 0.0000 0.6864 (multiplicity 4)
Ho 0.1823 0.5000 0.4097 (multiplicity 4)
Sc 0.2236 0.0000 0.1320 (multiplicity 4)
Pb 0.0000 0.5000 0.5000 (multiplicity 2)

Computed properties:
Formation energy from the elements   -68.8 meV per atom
Total moment   0.00 μB per formula unit
V   638.9 Å³ per cell
Theoretical density   8403 kg/m3



[17]
An optimized crystal structure of Ho2Sc3Pb4. Source: the Alexandria database, functional PBE.

Lattice parameters (Å, degrees): 8.0913 8.0385 7.8491 90.00 111.63 90.00
Space group P2_1/c (No. 14)
Inequivalent atoms, fractional coordinates:
Ho 0.1920 0.1799 0.0515 (multiplicity 4)
Sc 0.2460 0.6549 0.2382 (multiplicity 4)
Sc 0.5000 0.0000 0.5000 (multiplicity 2)
Pb 0.0882 0.5436 0.8307 (multiplicity 4)
Pb 0.4952 0.1433 0.8568 (multiplicity 4)

Computed properties:
Formation energy from the elements   -506.4 meV per atom
Total moment   0.00 μB per formula unit
V   474.6 Å³ per cell
Theoretical density   9052 kg/m3



[18]
An optimized crystal structure of Ho3Sc5Pb2. Source: the Alexandria database, functional PBE.

Lattice parameters (Å, degrees): 12.1095 14.9447 6.1111 90.00 90.00 90.00
Space group Ibam (No. 72)
Inequivalent atoms, fractional coordinates:
Ho 0.0000 0.0000 0.2500 (multiplicity 4)
Ho 0.1175 0.2285 0.0000 (multiplicity 8)
Sc 0.0000 0.5000 0.2500 (multiplicity 4)
Sc 0.1088 0.3420 0.5000 (multiplicity 8)
Sc 0.2403 0.5000 0.2500 (multiplicity 8)
Pb 0.1492 0.1513 0.5000 (multiplicity 8)

Computed properties:
Formation energy from the elements   14.9 meV per atom
Total moment   1.00 μB per formula unit
V   1105.9 Å³ per cell
Theoretical density   6810 kg/m3



[19]
An optimized crystal structure of HoSc2Pb. Source: the Alexandria database, functional PBE.

Lattice parameters (Å, degrees): 4.1392 11.9150 8.7829 90.00 90.00 90.00
Space group Cmcm (No. 63)
Inequivalent atoms, fractional coordinates:
Ho 0.0000 0.0512 0.2500 (multiplicity 4)
Sc 0.0000 0.3690 0.0528 (multiplicity 8)
Pb 0.0000 0.2414 0.7500 (multiplicity 4)

Computed properties:
Formation energy from the elements   -235.1 meV per atom
Total moment   0.00 μB per formula unit
V   433.2 Å³ per cell
Theoretical density   7085 kg/m3
ΔE to the lowest computed polymorph   91 meV per atom



[20]
An optimized crystal structure of HoSc3Pb2. Source: the Alexandria database, functional PBE.

Lattice parameters (Å, degrees): 4.7152 15.2348 4.1973 90.00 90.00 90.00
Space group Cmmm (No. 65)
Inequivalent atoms, fractional coordinates:
Ho 0.0000 0.0000 0.0000 (multiplicity 2)
Sc 0.0000 0.1754 0.5000 (multiplicity 4)
Sc 0.0000 0.5000 0.5000 (multiplicity 2)
Pb 0.0000 0.3480 0.0000 (multiplicity 4)

Computed properties:
Formation energy from the elements   -304.5 meV per atom
Total moment   1.19 μB per formula unit
V   301.5 Å³ per cell
Theoretical density   7867 kg/m3